Computed, not measured: Hf2ThSc6 after structural relaxation at the PBE level of DFT.

The structure in CIF format:
```
data_Hf2ThSc6
_symmetry_space_group_name_H-M 'C 1 2/c 1'
_symmetry_Int_Tables_number 15
_cell_length_a 9.713
_cell_length_b 16.012
_cell_length_c 5.696
_cell_angle_alpha 90.00
_cell_angle_beta 96.37
_cell_angle_gamma 90.00
loop_
_symmetry_equiv_pos_as_xyz
'x,y,z'
'-x,-y,-z'
'-x,y,-z+1/2'
'x,-y,z+1/2'
'x+1/2,y+1/2,z'
'-x+1/2,-y+1/2,-z'
'-x+1/2,y+1/2,-z+1/2'
'x+1/2,-y+1/2,z+1/2'
loop_
_atom_site_label
_atom_site_fract_x
_atom_site_fract_y
_atom_site_fract_z
Hf1 0.250 0.092 0.002
Th1 0.000 0.251 0.750
Sc1 0.091 0.079 0.491
Sc2 0.091 0.422 0.488
Sc3 0.165 0.251 0.260
```

Calculated values
Energy relative to the elements: 0.178 eV per atom
Total moment: 0.00 μB/cell
Density: 6.5 Mg/m³
Energy: -7.0791 eV per atom